1.
A geometry-optimized La2Pm5Sm2 structure. Source: Alexandria via LeMat-Bulk, functional PBE-GGA.

## Properties
Theoretical density: 6.8 g/cm3
Polymorph energy (0 for the lowest one): 0.0 meV/atom

abc: 8.9834 3.6306 9.9656
angles: 90.00 103.44 90.00
Space group P2/m (No. 10)
Unique sites:
La 0.0219 0.0000 0.1807
Pm 0.0000 0.5000 0.5000
Pm 0.3206 0.5000 0.0381
Pm 0.3501 0.0000 0.7150
Sm 0.3371 0.5000 0.3877

2.
A geometry-optimized PmEr2SnC structure. Source: Alexandria via LeMat-Bulk, functional PBE-GGA.

## Properties
Theoretical density: 8.5 g/cm3

abc: 4.8516 4.8516 5.0525
angles: 90.00 90.00 90.00
Space group P4/mmm (No. 123)
Unique sites:
Pm 0.0000 0.0000 0.0000
Er 0.0000 0.5000 0.5000
Sn 0.5000 0.5000 0.0000
C 0.0000 0.0000 0.5000

Number 1: M_tot 0.00 μB/cell, ΔE_f 42 meV/atom. Number 2: M_tot 0.00 μB/cell, ΔE_f -596 meV/atom.